VASP calculation (meta-GGA SCAN) on a crystal of YHf2Pt2 relaxed with PBEsol.

Geometry as extended XYZ:
```
10
Lattice="-1.6292 1.6833 -2.4156 4.8893 -2.7789 -5.2339 -4.6131 -6.0440 -1.1004" Properties=species:S:1:pos:R:3 pbc="T T T"
Y 0.0000 0.0000 0.0000
Y 0.1381 -4.4114 -3.1672
Pt -1.0687 -2.5966 -1.0887
Pt -2.2045 -6.2840 -2.8922
Pt 1.3448 -6.2262 -5.2457
Pt 2.4806 -2.5388 -3.4422
Hf -3.0761 -3.6181 -2.7903
Hf 1.7231 -3.5214 -5.9597
Hf 0.0815 -1.0799 -3.1512
Hf -1.4346 -6.0597 -5.5988
```

Calculated values
- polymorph energy (0 for the lowest one) (meV per atom) = 113
- energy of formation from the pure elements (eV/atom) = -1.072

***

VASP calculation (meta-GGA SCAN) on a crystal of Ta3HF relaxed with PBEsol.

Geometry as extended XYZ:
```
5
Lattice="-2.6158 1.1436 -2.9066 -1.2363 -3.8607 -0.4064 -2.8684 0.6211 2.8257" Properties=species:S:1:pos:R:3 pbc="T T T"
Ta -1.4342 0.3106 1.4129
Ta -0.6181 -1.9303 -0.2032
Ta -1.3079 0.5718 -1.4533
F -3.3602 -1.0480 -0.2436
H 0.0000 0.0000 0.0000
```

Calculated values
- electronic total energy (eV/f.u.) = -205.488

***

VASP calculation (meta-GGA SCAN) on a crystal of BeP2Rh relaxed with PBEsol.

Geometry as extended XYZ:
```
4
Lattice="-0.8043 2.1025 2.5186 1.5208 -2.3553 2.4519 3.4613 1.8115 -0.4068" Properties=species:S:1:pos:R:3 pbc="T T T"
Be 1.3285 1.9570 1.0559
Rh 0.3583 -0.1264 2.4852
P 0.0000 0.0000 0.0000
P 2.4911 -0.2719 1.0225
```

Calculated values
- energy of formation from the pure elements (eV/atom) = 0.167

***

VASP calculation (meta-GGA SCAN) on a crystal of RbPdRu2Pb relaxed with PBEsol.

Geometry as extended XYZ:
```
5
Lattice="-1.4778 1.8656 3.9348 -2.7696 -3.6092 0.6710 4.0875 -2.6202 2.7775" Properties=species:S:1:pos:R:3 pbc="T T T"
Ru -0.7389 0.9328 1.9674
Ru -1.3848 -1.8046 0.3355
Rb 0.0000 0.0000 0.0000
Pb 2.0437 -1.3101 1.3888
Pd -0.0800 -2.1819 3.6917
```

Calculated values
- energy of formation from the pure elements (eV/atom) = 2.728

***

Number 1: M_tot 0.0 μB/f.u., V 19.860 Å³ per atom. Number 2: M_tot 0.0 μB/f.u., V 13.525 Å³ per atom. Number 3: M_tot 0.0 μB/f.u., V 12.355 Å³ per atom. Number 4: M_tot 2.2 μB/f.u., V 23.657 Å³ per atom.